[1]
VASP calculation (PBE) on Nd2Al4SnAu3 after structural relaxation.

## Properties
* size of the total moment: 0.0 μB per formula unit
* space-group type: P-4m2, No. 115
* final energy: -45.0 eV for the cell shown
* energy relative to the elements: -0.669 eV/atom
* volume: 211 Å³ per cell
* DOS at the Fermi energy: 3.87 states/eV/cell

Unit cell a=4.418 b=4.418 c=10.832 alpha=90.00 beta=90.00 gamma=90.00
Fractional coordinates of all 10 atoms:
1 Au 0.000 0.500 0.125
2 Al 0.500 0.500 0.000
3 Al 0.000 0.500 0.352
4 Au 0.000 0.000 0.500
5 Nd 0.000 0.500 0.756
6 Au 0.500 0.000 0.875
7 Al 0.500 0.000 0.648
8 Al 0.000 0.000 0.000
9 Nd 0.500 0.000 0.244
10 Sn 0.500 0.500 0.500

***

[2]
VASP calculation (PBE) on TaCdIn3 after structural relaxation.

## Properties
* size of the total moment: 0.0 μB per formula unit
* space-group type: Pm-3m, No. 221
* final energy: -14.2 eV for the cell shown
* energy relative to the elements: 1.362 eV/atom
* volume: 147 Å³ per cell
* DOS at the Fermi energy: 6.44 states/eV/cell

Unit cell a=5.277 b=5.277 c=5.277 alpha=90.00 beta=90.00 gamma=90.00
Fractional coordinates of all 5 atoms:
1 In 0.500 0.000 0.000
2 Cd 0.000 0.000 0.000
3 Ta 0.500 0.500 0.500
4 In 0.000 0.000 0.500
5 In 0.000 0.500 0.000

***

[3]
VASP calculation (PBE) on LaHo2Te5 after structural relaxation.

## Properties
* size of the total moment: 0.0 μB per formula unit
* space-group type: I4/mcm, No. 140
* final energy: -80.0 eV for the cell shown
* formation energy from raw total energies: -1.28 eV per atom
* volume: 480 Å³ per cell
* DOS at the Fermi energy: 11.06 states/eV/cell

Unit cell a=8.210 b=8.210 c=9.190 alpha=116.53 beta=116.53 gamma=90.00
Fractional coordinates of all 16 atoms:
1 Te 0.302 0.802 0.292
2 Te 0.802 0.991 0.292
3 La 0.250 0.250 0.500
4 Ho 0.849 0.651 0.000
5 Te 0.000 0.000 0.000
6 Te 0.991 0.491 0.292
7 La 0.750 0.750 0.500
8 Te 0.009 0.509 0.708
9 Ho 0.349 0.849 0.000
10 Ho 0.151 0.349 0.000
11 Te 0.491 0.302 0.292
12 Ho 0.651 0.151 0.000
13 Te 0.698 0.198 0.708
14 Te 0.500 0.500 0.000
15 Te 0.509 0.698 0.708
16 Te 0.198 0.009 0.708

***

[4]
VASP calculation (PBE) on Y4Hg2Pt after structural relaxation.

## Properties
* size of the total moment: 0.0 μB per formula unit
* space-group type: R-3m, No. 166
* final energy: -36.3 eV for the cell shown
* energy relative to the elements: -0.548 eV/atom
* volume: 190 Å³ per cell
* DOS at the Fermi energy: 6.27 states/eV/cell

Unit cell a=5.118 b=5.118 c=8.889 alpha=73.27 beta=73.27 gamma=60.00
Fractional coordinates of all 7 atoms:
1 Y 0.371 0.371 0.887
2 Hg 0.242 0.242 0.273
3 Hg 0.758 0.758 0.727
4 Pt 0.000 0.000 0.000
5 Y 0.120 0.120 0.640
6 Y 0.629 0.629 0.113
7 Y 0.880 0.880 0.360